The following is a DFT calculation (PBEsol) of a geometry-optimized Ni3As structure.

Values from the calculation:
- D(E_F) (states/eV per atom) = 0.75
- theoretical density (g/cm³) = 9.114
- crystal system = orthorhombic
- formation energy from the elements (eV/f.u.) = -0.646

Lattice parameters (Å, degrees): 4.884 8.999 4.162 90.00 90.00 90.00
Space group Cmcm (No. 63)
One atom of each set of equivalent atoms:
Ni 0.000 0.083 0.250 x4
Ni 0.248 0.343 0.250 x8
As 0.000 0.379 0.750 x4

The following is a DFT calculation (PBEsol) of a geometry-optimized NiAs2O4 structure.

Values from the calculation:
- raw formation energy (meV/atom) = -1017
- D(E_F) (states/eV per atom) = 0.01
- theoretical density (g/cm³) = 4.831
- crystal system = tetragonal

Lattice parameters (Å, degrees): 8.150 8.150 5.642 90.00 90.00 90.00
Space group P4_2/mbc (No. 135)
One atom of each set of equivalent atoms:
Ni 0.000 0.500 0.250 x4
As 0.170 0.181 0.000 x8
O 0.104 0.360 0.500 x8
O 0.179 0.679 0.250 x8

The following is a DFT calculation (PBEsol) of a geometry-optimized NiAsO3 structure.

Values from the calculation:
- raw formation energy (meV/atom) = -349
- D(E_F) (states/eV per atom) = 0.33
- theoretical density (g/cm³) = 6.156
- crystal system = cubic

Lattice parameters (Å, degrees): 3.659 3.659 3.659 90.00 90.00 90.00
Space group Pm-3m (No. 221)
One atom of each set of equivalent atoms:
Ni 0.000 0.000 0.000 x1
As 0.500 0.500 0.500 x1
O 0.000 0.000 0.500 x3

The following is a DFT calculation (PBEsol) of a geometry-optimized NiAs2O6 structure.

Values from the calculation:
- raw formation energy (meV/atom) = -1088
- theoretical density (g/cm³) = 5.790
- crystal system = trigonal

Lattice parameters (Å, degrees): 4.7992 4.7992 4.3784 90.00 90.00 120.00
Space group P-31m (No. 162)
One atom of each set of equivalent atoms:
Ni 0.0000 0.0000 0.0000 x1
As 0.3333 0.6667 0.5000 x2
O 0.0000 0.3588 0.7327 x6

The following is a DFT calculation (PBEsol) of a geometry-optimized Ni3AsO structure.

Values from the calculation:
- raw formation energy (meV/atom) = -124
- D(E_F) (states/eV per atom) = 0.62
- theoretical density (g/cm³) = 7.939
- crystal system = cubic

Lattice parameters (Å, degrees): 3.822 3.822 3.822 90.00 90.00 90.00
Space group Pm-3m (No. 221)
One atom of each set of equivalent atoms:
Ni 0.000 0.000 0.500 x3
As 0.500 0.500 0.500 x1
O 0.000 0.000 0.000 x1

The following is a DFT calculation (PBEsol) of a geometry-optimized NiAsO2 structure.

Values from the calculation:
- raw formation energy (meV/atom) = -369
- D(E_F) (states/eV per atom) = 0.63
- theoretical density (g/cm³) = 5.965
- crystal system = tetragonal

Lattice parameters (Å, degrees): 3.986 3.986 11.605 90.00 90.00 90.00
Space group I-42d (No. 122)
One atom of each set of equivalent atoms:
Ni 0.000 0.000 0.000 x4
As 0.000 0.000 0.500 x4
O 0.232 0.250 0.125 x8

The following is a DFT calculation (PBEsol) of a geometry-optimized ZnNiAsO5 structure.

Values from the calculation:
- raw formation energy (meV/atom) = -1069
- D(E_F) (states/eV per atom) = 0.02
- theoretical density (g/cm³) = 5.011
- crystal system = orthorhombic

Lattice parameters (Å, degrees): 7.756 5.932 8.039 90.00 90.00 90.00
Space group Pnma (No. 62)
One atom of each set of equivalent atoms:
Zn 0.006 0.250 0.190 x4
Ni 0.000 0.000 0.500 x4
As 0.156 0.250 0.813 x4
O 0.003 0.750 0.041 x4
O 0.111 0.250 0.409 x4
O 0.140 0.750 0.395 x4
O 0.142 0.004 0.698 x8

The following is a DFT calculation (PBEsol) of a geometry-optimized NiAs3Os structure.

Values from the calculation:
- D(E_F) (states/eV per atom) = 1.18
- theoretical density (g/cm³) = 7.492
- crystal system = cubic
- formation energy from the elements (eV/f.u.) = 5.601

Lattice parameters (Å, degrees): 4.717 4.717 4.717 90.00 90.00 90.00
Space group Pm-3m (No. 221)
One atom of each set of equivalent atoms:
Ni 0.000 0.000 0.000 x1
As 0.000 0.500 0.500 x3
Os 0.500 0.500 0.500 x1

Question: Which of these has the highest theoretical density?
Answer: Ni3As

Question: theoretical density of number 3 (NiAsO3)?
Answer: 6.156 g/cm³

Question: Among the records above, which one has the lowest theoretical density?
Answer: NiAs2O4

Question: Which of these has the highest theoretical density?
Answer: Ni3As